1.
SmEuDy2 after structural relaxation, computed with PBE.

The structure in CIF format:
```
data_SmEuDy2
_space_group_name_H-M_alt 'P 4/m m m'
_space_group_IT_number 123
_space_group_name_Hall '-P 4 2'
_cell_length_a 5.953
_cell_length_b 5.953
_cell_length_c 3.831
_cell_angle_alpha 90.00
_cell_angle_beta 90.00
_cell_angle_gamma 90.00
loop_
_atom_site_label
_atom_site_type_symbol
_atom_site_fract_x
_atom_site_fract_y
_atom_site_fract_z
Sm1 Sm 0.000 0.000 0.000
Eu1 Eu 0.500 0.500 0.000
Dy1 Dy 0.000 0.500 0.500
```

Output
Formation energy in eV/atom: 0.151
E in eV per atom: -5.8979

---

2.
SmEuDy4 after structural relaxation, computed with PBE.

The structure in CIF format:
```
data_SmEuDy4
_space_group_name_H-M_alt 'F -4 3 m'
_space_group_IT_number 216
_space_group_name_Hall 'F -4 2 3'
_cell_length_a 9.465
_cell_length_b 9.465
_cell_length_c 9.465
_cell_angle_alpha 90.00
_cell_angle_beta 90.00
_cell_angle_gamma 90.00
loop_
_atom_site_label
_atom_site_type_symbol
_atom_site_fract_x
_atom_site_fract_y
_atom_site_fract_z
Sm1 Sm 0.000 0.000 0.000
Eu1 Eu 0.250 0.250 0.250
Dy1 Dy 0.127 0.127 0.627
```

Output
Formation energy in eV/atom: 0.249
E in eV per atom: -5.3176

---

3.
SmEuDy2 after structural relaxation, computed with PBE.

The structure in CIF format:
```
data_SmEuDy2
_space_group_name_H-M_alt 'P 4/m m m'
_space_group_IT_number 123
_space_group_name_Hall '-P 4 2'
_cell_length_a 3.640
_cell_length_b 3.640
_cell_length_c 10.288
_cell_angle_alpha 90.00
_cell_angle_beta 90.00
_cell_angle_gamma 90.00
loop_
_atom_site_label
_atom_site_type_symbol
_atom_site_fract_x
_atom_site_fract_y
_atom_site_fract_z
Sm1 Sm 0.000 0.000 0.000
Eu1 Eu 0.000 0.000 0.500
Dy1 Dy 0.500 0.500 0.237
```

Output
Formation energy in eV/atom: 0.060
E in eV per atom: -5.9892

---

4.
SmEuDyY after structural relaxation, computed with PBE.

The structure in CIF format:
```
data_SmEuDyY
_space_group_name_H-M_alt 'F -4 3 m'
_space_group_IT_number 216
_space_group_name_Hall 'F -4 2 3'
_cell_length_a 8.177
_cell_length_b 8.177
_cell_length_c 8.177
_cell_angle_alpha 90.00
_cell_angle_beta 90.00
_cell_angle_gamma 90.00
loop_
_atom_site_label
_atom_site_type_symbol
_atom_site_fract_x
_atom_site_fract_y
_atom_site_fract_z
Sm1 Sm 0.000 0.000 0.000
Eu1 Eu 0.000 0.000 0.500
Dy1 Dy 0.250 0.250 0.750
Y1 Y 0.250 0.250 0.250
```

Output
Formation energy in eV/atom: 0.155
E in eV per atom: -6.3599

---

5.
EuDySn2 after structural relaxation, computed with PBE.

The structure in CIF format:
```
data_EuDySn2
_space_group_name_H-M_alt 'P 4/m m m'
_space_group_IT_number 123
_space_group_name_Hall '-P 4 2'
_cell_length_a 3.517
_cell_length_b 3.517
_cell_length_c 9.025
_cell_angle_alpha 90.00
_cell_angle_beta 90.00
_cell_angle_gamma 90.00
loop_
_atom_site_label
_atom_site_type_symbol
_atom_site_fract_x
_atom_site_fract_y
_atom_site_fract_z
Eu1 Eu 0.000 0.000 0.000
Dy1 Dy 0.000 0.000 0.500
Sn1 Sn 0.500 0.500 0.260
```

Output
Formation energy in eV/atom: -0.650
E in eV per atom: -6.3708

---

6.
EuDySn2 after structural relaxation, computed with PBE.

The structure in CIF format:
```
data_EuDySn2
_space_group_name_H-M_alt 'P 4/m m m'
_space_group_IT_number 123
_space_group_name_Hall '-P 4 2'
_cell_length_a 4.984
_cell_length_b 4.984
_cell_length_c 4.471
_cell_angle_alpha 90.00
_cell_angle_beta 90.00
_cell_angle_gamma 90.00
loop_
_atom_site_label
_atom_site_type_symbol
_atom_site_fract_x
_atom_site_fract_y
_atom_site_fract_z
Eu1 Eu 0.000 0.000 0.000
Dy1 Dy 0.500 0.500 0.000
Sn1 Sn 0.000 0.500 0.500
```

Output
Formation energy in eV/atom: -0.609
E in eV per atom: -6.3292

---

7.
TbEuDySn after structural relaxation, computed with PBE.

The structure in CIF format:
```
data_TbEuDySn
_space_group_name_H-M_alt 'F -4 3 m'
_space_group_IT_number 216
_space_group_name_Hall 'F -4 2 3'
_cell_length_a 7.730
_cell_length_b 7.730
_cell_length_c 7.730
_cell_angle_alpha 90.00
_cell_angle_beta 90.00
_cell_angle_gamma 90.00
loop_
_atom_site_label
_atom_site_type_symbol
_atom_site_fract_x
_atom_site_fract_y
_atom_site_fract_z
Tb1 Tb 0.000 0.000 0.000
Eu1 Eu 0.250 0.250 0.250
Dy1 Dy 0.000 0.000 0.500
Sn1 Sn 0.250 0.250 0.750
```

Output
Formation energy in eV/atom: -0.235
E in eV per atom: -6.1129

---

8.
EuDyTlSn after structural relaxation, computed with PBE.

The structure in CIF format:
```
data_EuDyTlSn
_space_group_name_H-M_alt 'F -4 3 m'
_space_group_IT_number 216
_space_group_name_Hall 'F -4 2 3'
_cell_length_a 7.717
_cell_length_b 7.717
_cell_length_c 7.717
_cell_angle_alpha 90.00
_cell_angle_beta 90.00
_cell_angle_gamma 90.00
loop_
_atom_site_label
_atom_site_type_symbol
_atom_site_fract_x
_atom_site_fract_y
_atom_site_fract_z
Eu1 Eu 0.000 0.000 0.000
Dy1 Dy 0.000 0.000 0.500
Tl1 Tl 0.250 0.250 0.250
Sn1 Sn 0.250 0.250 0.750
```

Output
Formation energy in eV/atom: -0.482
E in eV per atom: -5.7932

---

9.
SrEuDy after structural relaxation, computed with PBE.

The structure in CIF format:
```
data_SrEuDy
_space_group_name_H-M_alt 'I 4 m m'
_space_group_IT_number 107
_space_group_name_Hall 'I 4 -2'
_cell_length_a 3.853
_cell_length_b 3.853
_cell_length_c 16.616
_cell_angle_alpha 90.00
_cell_angle_beta 90.00
_cell_angle_gamma 90.00
loop_
_atom_site_label
_atom_site_type_symbol
_atom_site_fract_x
_atom_site_fract_y
_atom_site_fract_z
Sr1 Sr 0.000 0.000 0.000
Eu1 Eu 0.000 0.000 0.686
Dy1 Dy 0.000 0.000 0.332
```

Output
Formation energy in eV/atom: 0.140
E in eV per atom: -5.3790

---

10.
SrEuDy after structural relaxation, computed with PBE.

The structure in CIF format:
```
data_SrEuDy
_space_group_name_H-M_alt 'P 3 m 1'
_space_group_IT_number 156
_space_group_name_Hall 'P 3 -2"'
_cell_length_a 3.8478
_cell_length_b 3.8478
_cell_length_c 9.5114
_cell_angle_alpha 90.00
_cell_angle_beta 90.00
_cell_angle_gamma 120.00
loop_
_atom_site_label
_atom_site_type_symbol
_atom_site_fract_x
_atom_site_fract_y
_atom_site_fract_z
Sr1 Sr 0.0000 0.0000 0.0000
Eu1 Eu 0.3333 0.6667 0.6380
Dy1 Dy 0.6667 0.3333 0.3334
```

Output
Formation energy in eV/atom: 0.143
E in eV per atom: -5.3761

---

11.
EuDy2Ta after structural relaxation, computed with PBE.

The structure in CIF format:
```
data_EuDy2Ta
_space_group_name_H-M_alt 'R -3 m'
_space_group_IT_number 166
_space_group_name_Hall '-R 3 2"'
_cell_length_a 3.3716
_cell_length_b 3.3716
_cell_length_c 34.3641
_cell_angle_alpha 90.00
_cell_angle_beta 90.00
_cell_angle_gamma 120.00
loop_
_atom_site_label
_atom_site_type_symbol
_atom_site_fract_x
_atom_site_fract_y
_atom_site_fract_z
Eu1 Eu 0.0000 0.0000 0.0000
Dy1 Dy 0.0000 0.0000 0.2388
Ta1 Ta 0.0000 0.0000 0.5000
```

Output
Formation energy in eV/atom: 0.366
E in eV per atom: -7.4669

---

12.
TbEuDy2 after structural relaxation, computed with PBE.

The structure in CIF format:
```
data_TbEuDy2
_space_group_name_H-M_alt 'P 4/m m m'
_space_group_IT_number 123
_space_group_name_Hall '-P 4 2'
_cell_length_a 5.928
_cell_length_b 5.928
_cell_length_c 3.801
_cell_angle_alpha 90.00
_cell_angle_beta 90.00
_cell_angle_gamma 90.00
loop_
_atom_site_label
_atom_site_type_symbol
_atom_site_fract_x
_atom_site_fract_y
_atom_site_fract_z
Tb1 Tb 0.000 0.000 0.000
Eu1 Eu 0.500 0.500 0.000
Dy1 Dy 0.000 0.500 0.500
```

Output
Formation energy in eV/atom: 0.156
E in eV per atom: -5.8717